# ZnIrRu4

An optimized crystal structure of ZnIrRu4 (PBE, Alexandria via LeMat-Bulk).

Values from the calculation:
Formation energy: 0.60 eV per atom
Volume: 15.20 Å³/atom
Total energy: -7.274 eV per atom

a b c (Å): 7.145 7.145 7.145
angles (deg): 90.00 90.00 90.00
Space group F-43m (No. 216)
One atom of each set of equivalent atoms:
Zn (0.000, 0.000, 0.000)
Ir (0.250, 0.250, 0.750)
Ru (0.125, 0.125, 0.375)

# ZnIr2Ru

An optimized crystal structure of ZnIr2Ru (PBE, Alexandria via LeMat-Bulk).

Values from the calculation:
Formation energy: 0.12 eV per atom
Volume: 14.26 Å³/atom
Total energy: -6.946 eV per atom

a b c (Å): 2.880 4.500 8.807
angles (deg): 90.00 90.00 90.00
Space group Immm (No. 71)
One atom of each set of equivalent atoms:
Zn (0.000, 0.000, 0.000)
Ir (0.000, 0.500, 0.263)
Ru (0.000, 0.000, 0.500)

# ZnIr2Ru

An optimized crystal structure of ZnIr2Ru (PBE, Alexandria via LeMat-Bulk).

Values from the calculation:
Formation energy: -0.09 eV per atom
Volume: 14.26 Å³/atom
Total energy: -7.158 eV per atom

a b c (Å): 2.755 2.755 7.517
angles (deg): 90.00 90.00 90.00
Space group P4/mmm (No. 123)
One atom of each set of equivalent atoms:
Zn (0.000, 0.000, 0.000)
Ir (0.500, 0.500, 0.255)
Ru (0.000, 0.000, 0.500)

# ZnIrRu3

An optimized crystal structure of ZnIrRu3 (PBE, Alexandria via LeMat-Bulk).

Values from the calculation:
Formation energy: 1.70 eV per atom
Energy above the lowest structure with this stoichiometry: 0 meV per atom
Volume: 20.74 Å³/atom
Total energy: -5.891 eV per atom

a b c (Å): 4.698 4.698 4.698
angles (deg): 90.00 90.00 90.00
Space group Pm-3m (No. 221)
One atom of each set of equivalent atoms:
Zn (0.000, 0.000, 0.000)
Ir (0.500, 0.500, 0.500)
Ru (0.000, 0.500, 0.500)

# ZnIr2Ru

An optimized crystal structure of ZnIr2Ru (PBE, Alexandria via LeMat-Bulk).

Values from the calculation:
Formation energy: 0.18 eV per atom
Volume: 14.62 Å³/atom
Total energy: -6.885 eV per atom

a b c (Å): 2.749 4.709 9.035
angles (deg): 90.00 90.00 90.00
Space group Cmmm (No. 65)
One atom of each set of equivalent atoms:
Zn (0.000, 0.000, 0.000)
Ir (0.000, 0.500, 0.246)
Ru (0.000, 0.000, 0.500)

# ZnIr2Ru

An optimized crystal structure of ZnIr2Ru (PBE, Alexandria via LeMat-Bulk).

Values from the calculation:
Formation energy: -0.03 eV per atom
Volume: 14.25 Å³/atom
Total energy: -7.095 eV per atom

a b c (Å): 9.012 2.735 4.686
angles (deg): 90.00 99.20 90.00
Space group C2/m (No. 12)
One atom of each set of equivalent atoms:
Zn (0.000, 0.000, 0.000)
Ir (0.246, 0.000, 0.749)
Ru (0.000, 0.500, 0.500)

Which of these has the lowest volume? number 6